# 1
Density functional theory data (PBE) for a relaxed Ba2Sr2Pt crystal.

Values from the calculation:
**D(E_F)**: 0.65 states/eV per atom
**ΔE_f**: -45 kJ/mol of formula units
**Energy relative to the lowest polymorph listed for this composition**: 338.4 meV/atom

The structure in CIF format:
```
data_Ba2Sr2Pt
_chemical_formula_sum 'Ba4 Sr4 Pt2'
_cell_length_a 8.259
_cell_length_b 8.259
_cell_length_c 7.007
_cell_angle_alpha 90.00
_cell_angle_beta 90.00
_cell_angle_gamma 90.00
_space_group_name_H-M_alt 'P 4/m b m'
_space_group_IT_number 127
_space_group_name_Hall '-P 4 2ab'
loop_
_atom_site_label
_atom_site_type_symbol
_atom_site_fract_x
_atom_site_fract_y
_atom_site_fract_z
_atom_site_occupancy
Ba1 Ba 0.171 0.329 0.000 1
Sr1 Sr 0.174 0.674 0.500 1
Pt1 Pt 0.000 0.000 0.000 1
```

***

# 2
Density functional theory data (PBE) for a relaxed Ba4SrPt crystal.

Values from the calculation:
**D(E_F)**: 1.10 states/eV per atom
**ΔE_f**: -158 kJ/mol of formula units
**Energy relative to the lowest polymorph listed for this composition**: 31.0 meV/atom

The structure in CIF format:
```
data_Ba4SrPt
_chemical_formula_sum 'Ba16 Sr4 Pt4'
_cell_length_a 20.363
_cell_length_b 8.620
_cell_length_c 7.487
_cell_angle_alpha 90.00
_cell_angle_beta 106.50
_cell_angle_gamma 90.00
_space_group_name_H-M_alt 'C 1 2/m 1'
_space_group_IT_number 12
_space_group_name_Hall '-C 2y'
loop_
_atom_site_label
_atom_site_type_symbol
_atom_site_fract_x
_atom_site_fract_y
_atom_site_fract_z
_atom_site_occupancy
Ba1 Ba 0.000 0.244 0.000 1
Ba2 Ba 0.107 0.245 0.616 1
Ba3 Ba 0.180 0.000 0.219 1
Sr1 Sr 0.197 0.500 0.185 1
Pt1 Pt 0.027 0.000 0.331 1
```

***

# 3
Density functional theory data (PBE) for a relaxed BaSr2Pt crystal.

Values from the calculation:
**D(E_F)**: 1.10 states/eV per atom
**ΔE_f**: -150 kJ/mol of formula units
**Energy relative to the lowest polymorph listed for this composition**: 137.2 meV/atom

The structure in CIF format:
```
data_BaSr2Pt
_chemical_formula_sum 'Ba2 Sr4 Pt2'
_cell_length_a 3.997
_cell_length_b 6.180
_cell_length_c 13.252
_cell_angle_alpha 90.00
_cell_angle_beta 90.00
_cell_angle_gamma 90.00
_space_group_name_H-M_alt 'I m m m'
_space_group_IT_number 71
_space_group_name_Hall '-I 2 2'
loop_
_atom_site_label
_atom_site_type_symbol
_atom_site_fract_x
_atom_site_fract_y
_atom_site_fract_z
_atom_site_occupancy
Ba1 Ba 0.000 0.000 0.000 1
Sr1 Sr 0.000 0.500 0.173 1
Pt1 Pt 0.000 0.000 0.500 1
```

***

# 4
Density functional theory data (PBE) for a relaxed BaSrPt2 crystal.

Values from the calculation:
**D(E_F)**: 0.02 states/eV per atom
**ΔE_f**: -258 kJ/mol of formula units
**Energy relative to the lowest polymorph listed for this composition**: 80.7 meV/atom

The structure in CIF format:
```
data_BaSrPt2
_chemical_formula_sum 'Ba4 Sr4 Pt8'
_cell_length_a 7.569
_cell_length_b 7.569
_cell_length_c 7.569
_cell_angle_alpha 90.00
_cell_angle_beta 90.00
_cell_angle_gamma 90.00
_space_group_name_H-M_alt 'F m -3 m'
_space_group_IT_number 225
_space_group_name_Hall '-F 4 2 3'
loop_
_atom_site_label
_atom_site_type_symbol
_atom_site_fract_x
_atom_site_fract_y
_atom_site_fract_z
_atom_site_occupancy
Ba1 Ba 0.000 0.000 0.000 1
Sr1 Sr 0.000 0.000 0.500 1
Pt1 Pt 0.250 0.250 0.250 1
```

***

# 5
Density functional theory data (PBE) for a relaxed Ba2SrPt crystal.

Values from the calculation:
**D(E_F)**: 0.93 states/eV per atom
**ΔE_f**: -11 kJ/mol of formula units
**Energy relative to the lowest polymorph listed for this composition**: 506.0 meV/atom

The structure in CIF format:
```
data_Ba2SrPt
_chemical_formula_sum 'Ba4 Sr2 Pt2'
_cell_length_a 4.958
_cell_length_b 4.958
_cell_length_c 11.765
_cell_angle_alpha 90.00
_cell_angle_beta 90.00
_cell_angle_gamma 90.00
_space_group_name_H-M_alt 'I 4/m m m'
_space_group_IT_number 139
_space_group_name_Hall '-I 4 2'
loop_
_atom_site_label
_atom_site_type_symbol
_atom_site_fract_x
_atom_site_fract_y
_atom_site_fract_z
_atom_site_occupancy
Ba1 Ba 0.000 0.500 0.250 1
Sr1 Sr 0.000 0.000 0.000 1
Pt1 Pt 0.000 0.000 0.500 1
```

***

# 6
Density functional theory data (PBE) for a relaxed Ba2SrPt crystal.

Values from the calculation:
**D(E_F)**: 0.99 states/eV per atom
**ΔE_f**: -178 kJ/mol of formula units
**Energy relative to the lowest polymorph listed for this composition**: 72.0 meV/atom

The structure in CIF format:
```
data_Ba2SrPt
_chemical_formula_sum 'Ba4 Sr2 Pt2'
_cell_length_a 4.518
_cell_length_b 6.474
_cell_length_c 13.594
_cell_angle_alpha 90.00
_cell_angle_beta 90.00
_cell_angle_gamma 90.00
_space_group_name_H-M_alt 'A m m 2'
_space_group_IT_number 38
_space_group_name_Hall 'A 2 -2'
loop_
_atom_site_label
_atom_site_type_symbol
_atom_site_fract_x
_atom_site_fract_y
_atom_site_fract_z
_atom_site_occupancy
Ba1 Ba 0.000 0.000 0.000 1
Ba2 Ba 0.500 0.000 0.344 1
Sr1 Sr 0.500 0.000 0.645 1
Pt1 Pt 0.000 0.000 0.500 1
```